Record 1
A plane-wave DFT calculation with PBE was carried out for crystalline KRb3Mg2Cl9 at its relaxed geometry.

```
15
Lattice="-4.608 -3.949 -3.927 6.090 -2.982 2.506 -4.885 -2.797 8.545" Properties=species:S:1:pos:R:3 pbc="T T T"
K -2.443 -1.398 4.273
Rb -1.046 -5.348 6.606
Rb 0.000 0.000 0.000
Rb -2.358 -4.380 0.518
Mg 1.794 -3.722 1.639
Mg -5.198 -6.005 5.486
Cl -6.243 -5.775 3.271
Cl -3.305 -7.213 4.480
Cl -4.020 -3.870 5.166
Cl 0.616 -5.858 1.959
Cl -0.099 -2.514 2.644
Cl 2.839 -3.953 3.853
Cl -2.304 -1.975 -1.963
Cl 3.045 -1.491 1.253
Cl 0.741 -3.465 -0.711
```


Record 2
A plane-wave DFT calculation with PBE was carried out for crystalline HgBiTe at its relaxed geometry.

```
6
Lattice="4.944 -0.089 -0.086 0.075 4.216 -0.056 0.157 0.114 8.983" Properties=species:S:1:pos:R:3 pbc="T T T"
Bi 1.349 1.774 2.815
Bi 3.917 3.883 6.041
Hg 3.718 1.699 -0.070
Hg 1.284 3.851 -0.054
Te 3.863 3.841 2.970
Te 1.404 1.816 5.886
```

Computed properties:
- energy above the most stable polymorph in this dataset (eV per atom) = 0.000


Sequential uncorrected formation energy output: -1.732; -0.032 eV/atom
Sequential total magnetization output: 0.064; 0.000 μB per atom